No. 1
Computed, not measured: a relaxed structure of YGeRh3 at the PBE level of DFT.

Calculated volume (Å³/cell): 116.0
Formation energy (kcal/mol of atoms): 26.71
Crystal system: cubic
E_tot (eV per cell): -27.35
Size of the total moment (μB per formula unit): 0.00
Polymorph energy (0 for the lowest one) (eV per atom): 1.759

Cell and atoms, written as POSCAR:
```
YGeRh3
1.0
4.877 0.000 0.000
0.000 4.877 0.000
0.000 0.000 4.877
Y Rh Ge
1 3 1
Direct
0.000 0.000 0.000 Y
0.500 0.000 0.000 Rh
0.000 0.000 0.500 Rh
0.000 0.500 0.000 Rh
0.500 0.500 0.500 Ge
```

=====

No. 2
Computed, not measured: a relaxed structure of Y3GeRh at the PBE level of DFT.

Calculated volume (Å³/cell): 146.8
Formation energy (kcal/mol of atoms): -6.41
Crystal system: cubic
E_tot (eV per cell): -32.75
Size of the total moment (μB per formula unit): 0.00
Polymorph energy (0 for the lowest one) (eV per atom): 0.000

Cell and atoms, written as POSCAR:
```
Y3GeRh
1.0
-3.906 3.541 0.179
0.145 -0.106 5.272
3.542 3.909 -0.019
Y Rh Ge
3 1 1
Direct
0.000 0.500 0.000 Y
0.500 0.000 0.000 Y
0.000 0.000 0.500 Y
0.000 0.000 0.000 Rh
0.500 0.500 0.500 Ge
```

=====

No. 3
Computed, not measured: a relaxed structure of Y3Ge2Rh3 at the PBE level of DFT.

Calculated volume (Å³/cell): 639.2
Formation energy (kcal/mol of atoms): -21.69
Crystal system: orthorhombic
E_tot (eV per cell): -232.82
Size of the total moment (μB per formula unit): 0.00

Cell and atoms, written as POSCAR:
```
Y3Ge2Rh3
1.0
-0.299 -0.966 -5.494
-6.167 -4.227 1.079
-8.710 12.278 -1.683
Y Rh Ge
12 12 8
Direct
0.108 0.167 0.750 Y
0.136 0.475 0.394 Y
0.136 0.475 0.106 Y
0.892 0.833 0.250 Y
0.608 0.333 0.250 Y
0.364 0.975 0.106 Y
0.636 0.025 0.894 Y
0.636 0.025 0.606 Y
0.364 0.975 0.394 Y
0.864 0.525 0.606 Y
0.392 0.667 0.750 Y
0.864 0.525 0.894 Y
0.613 0.314 0.750 Rh
0.592 0.328 0.035 Rh
0.592 0.328 0.465 Rh
0.908 0.828 0.465 Rh
0.408 0.672 0.535 Rh
0.408 0.672 0.965 Rh
0.908 0.828 0.035 Rh
0.387 0.686 0.250 Rh
0.887 0.814 0.750 Rh
0.092 0.172 0.965 Rh
0.113 0.186 0.250 Rh
0.092 0.172 0.535 Rh
0.868 0.123 0.108 Ge
0.368 0.377 0.608 Ge
0.368 0.377 0.892 Ge
0.868 0.123 0.392 Ge
0.132 0.877 0.608 Ge
0.632 0.623 0.392 Ge
0.132 0.877 0.892 Ge
0.632 0.623 0.108 Ge
```

=====

No. 4
Computed, not measured: a relaxed structure of Y2Ge5Rh3 at the PBE level of DFT.

Calculated volume (Å³/cell): 358.1
Formation energy (kcal/mol of atoms): -17.49
Crystal system: orthorhombic
E_tot (eV per cell): -131.31
Size of the total moment (μB per formula unit): 0.00
Polymorph energy (0 for the lowest one) (eV per atom): 0.036

Cell and atoms, written as POSCAR:
```
Y2Ge5Rh3
1.0
4.176 0.000 -0.711
0.000 6.839 0.000
-0.012 0.000 12.540
Ge Rh Y
10 6 4
Direct
0.400 0.377 0.801 Ge
0.706 0.447 0.413 Ge
0.600 0.877 0.199 Ge
0.882 0.762 0.765 Ge
0.709 0.025 0.417 Ge
0.952 0.072 0.904 Ge
0.118 0.262 0.235 Ge
0.048 0.572 0.096 Ge
0.294 0.947 0.587 Ge
0.291 0.525 0.583 Ge
0.393 0.009 0.787 Rh
0.779 0.736 0.559 Rh
0.054 0.956 0.109 Rh
0.946 0.456 0.891 Rh
0.221 0.236 0.441 Rh
0.607 0.509 0.213 Rh
0.521 0.238 0.042 Y
0.479 0.738 0.958 Y
0.176 0.744 0.351 Y
0.824 0.244 0.649 Y
```

=====

No. 5
Computed, not measured: a relaxed structure of YGeRh at the PBE level of DFT.

Calculated volume (Å³/cell): 59.5
Formation energy (kcal/mol of atoms): -20.48
Crystal system: hexagonal
E_tot (eV per cell): -21.10
Size of the total moment (μB per formula unit): 0.00

Cell and atoms, written as POSCAR:
```
YGeRh
1.0
3.676 0.000 0.000
0.000 4.324 0.000
0.000 -2.162 3.744
Y Rh Ge
1 1 1
Direct
0.667 0.333 0.667 Y
0.167 0.000 0.000 Rh
0.167 0.667 0.333 Ge
```

=====

No. 6
Computed, not measured: a relaxed structure of YGe4Rh at the PBE level of DFT.

Calculated volume (Å³/cell): 238.6
Formation energy (kcal/mol of atoms): -9.55
Crystal system: triclinic
E_tot (eV per cell): -69.54
Size of the total moment (μB per formula unit): 0.00

Cell and atoms, written as POSCAR:
```
YGe4Rh
1.0
-1.200 2.064 -5.782
-6.767 -0.487 1.237
0.982 4.200 4.690
Rh Y Ge
2 2 8
Direct
0.000 0.500 0.500 Rh
0.500 0.000 0.500 Rh
0.100 0.248 0.996 Y
0.900 0.752 0.004 Y
0.126 0.144 0.493 Ge
0.631 0.356 0.503 Ge
0.369 0.644 0.497 Ge
0.874 0.856 0.507 Ge
0.594 0.089 0.908 Ge
0.688 0.412 0.089 Ge
0.312 0.588 0.911 Ge
0.406 0.911 0.092 Ge
```